Record 1
VASP calculation (PBE) on a geometry-optimized NdHI structure.

abc: 3.631 3.631 10.863
angles: 90.00 90.00 90.00
Space group I4mm (No. 107)
One atom of each set of equivalent atoms:
Nd: 0.000 0.000 0.000 x2
H: 0.000 0.000 0.563 x2
I: 0.000 0.000 0.302 x2

Values from the calculation:
DOS(E_F) in states/eV/atom: 0.434
Calculated density in g/cm3: 6.3
E_tot in eV/atom: -3.848

Record 2
VASP calculation (PBE) on a geometry-optimized NdHI2 structure.

abc: 4.1395 4.1395 24.8544
angles: 90.00 90.00 120.00
Space group R3m (No. 160, hexagonal axes)
One atom of each set of equivalent atoms:
Nd: 0.0000 0.0000 0.0000 x3
H: 0.0000 0.0000 0.6667 x3
I: 0.0000 0.0000 0.2463 x3
I: 0.0000 0.0000 0.4204 x3

Values from the calculation:
DOS(E_F) in states/eV/atom: 0.000
Calculated density in g/cm3: 5.4
E_tot in eV/atom: -4.037

Record 3
VASP calculation (PBE) on a geometry-optimized NdH2I3 structure.

abc: 8.238 8.582 8.725
angles: 61.25 84.96 78.71
Space group P1 (No. 1)
One atom of each set of equivalent atoms:
Nd: 0.000 0.000 0.000 x1
Nd: 0.500 0.000 0.000 x1
H: 0.004 0.597 0.691 x1
H: 0.472 0.698 0.643 x1
H: 0.550 0.632 0.652 x1
H: 0.930 0.642 0.630 x1
I: 0.196 0.219 0.100 x1
I: 0.259 0.095 0.695 x1
I: 0.295 0.687 0.205 x1
I: 0.697 0.215 0.104 x1
I: 0.758 0.098 0.694 x1
I: 0.795 0.686 0.203 x1

Values from the calculation:
DOS(E_F) in states/eV/atom: 0.000
Calculated density in g/cm3: 3.3
E_tot in eV/atom: -3.627

Record 4
VASP calculation (PBE) on a geometry-optimized NdH2IO2 structure.

abc: 7.613 4.230 7.968
angles: 90.00 115.22 90.00
Space group P2_1/m (No. 11)
One atom of each set of equivalent atoms:
Nd: 0.204 0.250 0.060 x2
H: 0.292 0.066 0.468 x4
I: 0.292 0.750 0.759 x2
O: 0.120 0.750 0.112 x2
O: 0.310 0.250 0.402 x2

Values from the calculation:
DOS(E_F) in states/eV/atom: 0.000
Calculated density in g/cm3: 4.4
E_tot in eV/atom: -5.595

Record 5
VASP calculation (PBE) on a geometry-optimized Nd8HOs3I4 structure.

abc: 14.343 8.270 9.454
angles: 90.00 120.40 90.00
Space group C2/m (No. 12)
One atom of each set of equivalent atoms:
Nd: 0.023 0.246 0.316 x8
Nd: 0.230 0.000 0.690 x4
Nd: 0.231 0.500 0.684 x4
H: 0.000 0.500 0.500 x2
Os: 0.000 0.000 0.500 x2
Os: 0.250 0.250 0.500 x4
I: 0.000 0.000 0.000 x2
I: 0.000 0.500 0.000 x2
I: 0.250 0.250 0.000 x4

Values from the calculation:
DOS(E_F) in states/eV/atom: 0.399
Calculated density in g/cm3: 7.7
E_tot in eV/atom: -5.658

Record 6
VASP calculation (PBE) on a geometry-optimized Nd8HRh3I4 structure.

abc: 14.302 8.275 9.420
angles: 90.00 120.37 90.00
Space group C2/m (No. 12)
One atom of each set of equivalent atoms:
Nd: 0.022 0.249 0.315 x8
Nd: 0.226 0.000 0.684 x4
Nd: 0.229 0.500 0.686 x4
H: 0.000 0.000 0.500 x2
Rh: 0.000 0.500 0.500 x2
Rh: 0.250 0.250 0.500 x4
I: 0.000 0.000 0.000 x2
I: 0.000 0.500 0.000 x2
I: 0.250 0.250 0.000 x4

Values from the calculation:
DOS(E_F) in states/eV/atom: 0.581
Calculated density in g/cm3: 6.8
E_tot in eV/atom: -5.183

Please write out number 6 again, unchanged.
VASP calculation (PBE) on a geometry-optimized Nd8HRh3I4 structure.

abc: 14.302 8.275 9.420
angles: 90.00 120.37 90.00
Space group C2/m (No. 12)
One atom of each set of equivalent atoms:
Nd: 0.022 0.249 0.315 x8
Nd: 0.226 0.000 0.684 x4
Nd: 0.229 0.500 0.686 x4
H: 0.000 0.000 0.500 x2
Rh: 0.000 0.500 0.500 x2
Rh: 0.250 0.250 0.500 x4
I: 0.000 0.000 0.000 x2
I: 0.000 0.500 0.000 x2
I: 0.250 0.250 0.000 x4

Values from the calculation:
DOS(E_F) in states/eV/atom: 0.581
Calculated density in g/cm3: 6.8
E_tot in eV/atom: -5.183

Among the records above, which one has the highest DOS(E_F)?
Nd8HRh3I4

What is the formula in the first record?
NdHI